{
  "formula": "CeTe6Br12",
  "functional": "PBE-GGA",
  "state": "optimized geometry",
  "formation_energy_uncorrected_ev_per_atom": -0.4939,
  "sg": "R-3 (148)",
  "lattice": [[9.541, 3.314, 0.349], [0.438, 10.091, 0.349], [2.467, 3.314, 9.223]],
  "species": ["Br", "Br", "Br", "Br", "Br", "Br", "Br", "Br", "Br", "Br", "Br", "Br", "Te", "Te", "Te", "Te", "Te", "Te", "Ce"],
  "frac_coords": [[0.260, 0.851, 0.093], [0.476, 0.969, 0.300], [0.031, 0.700, 0.524], [0.740, 0.149, 0.907], [0.149, 0.907, 0.740], [0.700, 0.524, 0.031], [0.907, 0.740, 0.149], [0.093, 0.260, 0.851], [0.300, 0.476, 0.969], [0.969, 0.300, 0.476], [0.851, 0.093, 0.260], [0.524, 0.031, 0.700], [0.501, 0.222, 0.283], [0.717, 0.499, 0.778], [0.222, 0.283, 0.501], [0.283, 0.501, 0.222], [0.778, 0.717, 0.499], [0.499, 0.778, 0.717], [0.000, 0.000, 0.000]]
}